(1)
The following is a DFT calculation (PBE) of crystalline Pu3TiSb5 at its relaxed geometry.

abc: 6.1010 9.2360 9.2360
angles: 120.00 90.00 90.00
Last column: magnetic moment on the atom in μB.
Fractional coordinates of all 18 atoms:
Pu (0.7500, 0.3851, 0.0000)  5.20
Pu (0.7500, 0.6149, 0.6149)  5.20
Pu (0.7500, 0.0000, 0.3851)  5.20
Pu (0.2500, 0.6149, 0.0000)  5.20
Pu (0.2500, 0.3851, 0.3851)  5.20
Pu (0.2500, 0.0000, 0.6149)  5.20
Ti (0.0000, 0.0000, 0.0000)  0.05
Ti (0.5000, 0.0000, 0.0000)  0.05
Sb (0.0000, 0.3333, 0.6667)  -0.09
Sb (0.5000, 0.6667, 0.3333)  -0.09
Sb (0.0000, 0.6667, 0.3333)  -0.09
Sb (0.5000, 0.3333, 0.6667)  -0.09
Sb (0.7500, 0.7416, 0.0000)  -0.09
Sb (0.7500, 0.2584, 0.2584)  -0.09
Sb (0.7500, 0.0000, 0.7416)  -0.09
Sb (0.2500, 0.2584, 0.0000)  -0.09
Sb (0.2500, 0.7416, 0.7416)  -0.09
Sb (0.2500, 0.0000, 0.2584)  -0.09

## Properties
- space group = P6_3/mcm (193)
- ΔE_f (raw) (meV/atom) = -643
- total energy (eV per atom) = -8.59
- crystal system = hexagonal


(2)
The following is a DFT calculation (PBE) of crystalline PuTl2Sb at its relaxed geometry.

abc: 3.4346 3.4346 12.1203
angles: 81.85 81.85 60.00
Last column: magnetic moment on the atom in μB.
Fractional coordinates of all 4 atoms:
Sb (0.5000, 0.5000, 0.5000)  0.01
Tl (0.0906, 0.0906, 0.7282)  0.00
Tl (0.9094, 0.9094, 0.2718)  0.00
Pu (0.0000, 0.0000, 0.0000)  5.81

## Properties
- space group = R-3m (166)
- ΔE_f (raw) (meV/atom) = 251
- total energy (eV per atom) = -5.55
- crystal system = trigonal


(3)
The following is a DFT calculation (PBE) of crystalline PuTl2Sb2 at its relaxed geometry.

abc: 4.4594 4.4352 14.8221
angles: 90.00 98.65 90.00
Last column: magnetic moment on the atom in μB.
Fractional coordinates of all 10 atoms:
Pu (0.3319, 0.2500, 0.6637)  5.22
Pu (0.6681, 0.7500, 0.3363)  5.22
Tl (0.0489, 0.7500, 0.0979)  0.01
Tl (0.4372, 0.7500, 0.8743)  0.00
Tl (0.9511, 0.2500, 0.9021)  0.01
Tl (0.5628, 0.2500, 0.1257)  0.00
Sb (0.7499, 0.2500, 0.4998)  -0.06
Sb (0.2501, 0.7500, 0.5002)  -0.06
Sb (0.8556, 0.7500, 0.7112)  -0.07
Sb (0.1444, 0.2500, 0.2888)  -0.07

## Properties
- space group = Cmcm (63)
- ΔE_f (raw) (meV/atom) = -253
- total energy (eV per atom) = -5.71
- crystal system = orthorhombic